# 1
DFT (GGA-PBEsol) results for NiC3 after structural relaxation.

The structure in CIF format:
```
data_NiC3
_cell_length_a 3.377
_cell_length_b 3.377
_cell_length_c 2.633
_cell_angle_alpha 90.00
_cell_angle_beta 90.00
_cell_angle_gamma 90.00
_symmetry_space_group_name_H-M 'P 4/m m m'
_symmetry_Int_Tables_number 123
_symmetry_space_group_name_Hall '-P 4 2'
loop_
_atom_site_label
_atom_site_type_symbol
_atom_site_fract_x
_atom_site_fract_y
_atom_site_fract_z
Ni1 Ni 0.000 0.000 0.000
C1 C 0.000 0.500 0.500
C2 C 0.500 0.500 0.000
```

Summary:
The calculation puts the formation energy at 2868.0 meV per atom. The mass density is 5.24 g/cm3. The offset from the most stable computed form is 1626 meV per atom. The total energy is -5.9042 eV per atom.

***

# 2
DFT (GGA-PBEsol) results for NiC3 after structural relaxation.

The structure in CIF format:
```
data_NiC3
_cell_length_a 3.364
_cell_length_b 2.423
_cell_length_c 4.120
_cell_angle_alpha 90.00
_cell_angle_beta 111.55
_cell_angle_gamma 90.00
_symmetry_space_group_name_H-M 'P 1 2/m 1'
_symmetry_Int_Tables_number 10
_symmetry_space_group_name_Hall '-P 2y'
loop_
_atom_site_label
_atom_site_type_symbol
_atom_site_fract_x
_atom_site_fract_y
_atom_site_fract_z
Ni1 Ni 0.000 0.000 0.000
C1 C 0.000 0.000 0.500
C2 C 0.266 0.500 0.418
```

Summary:
The calculation puts the formation energy at 1241.8 meV per atom. The mass density is 5.04 g/cm3. The offset from the most stable computed form is 0 meV per atom. The total energy is -7.5304 eV per atom.

***

# 3
DFT (GGA-PBEsol) results for NiC3 after structural relaxation.

The structure in CIF format:
```
data_NiC3
_cell_length_a 3.685
_cell_length_b 3.685
_cell_length_c 3.685
_cell_angle_alpha 90.00
_cell_angle_beta 90.00
_cell_angle_gamma 90.00
_symmetry_space_group_name_H-M 'P m -3 m'
_symmetry_Int_Tables_number 221
_symmetry_space_group_name_Hall '-P 4 2 3'
loop_
_atom_site_label
_atom_site_type_symbol
_atom_site_fract_x
_atom_site_fract_y
_atom_site_fract_z
Ni1 Ni 0.000 0.000 0.000
C1 C 0.000 0.000 0.500
```

Summary:
The calculation puts the formation energy at 3237.1 meV per atom. The mass density is 3.14 g/cm3. The offset from the most stable computed form is 1995 meV per atom. The total energy is -5.5351 eV per atom.